Model one:
Entry from the Alexandria database: an optimized crystal structure of LaMnSe3 (GGA-PBE).

The calculation puts the calculated volume at 23.7 Å³ per atom. For the theoretical density, the calculation gives 6.0 Mg/m³. The value obtained for the size of the total moment is 0.79 μB per atom.

It has space group Pm-3m (No. 221), with a = 4.914 Å, b = 4.914 Å, c = 4.914 Å, α = 90.00°, β = 90.00° and γ = 90.00°. The asymmetric unit holds La at (0.000, 0.000, 0.000), Mn at (0.500, 0.500, 0.500) and Se at (0.000, 0.500, 0.500).



Model two:
Entry from the Alexandria database: an optimized crystal structure of LaMnSe3 (GGA-PBE).

The calculation puts the calculated volume at 37.2 Å³ per atom. For the theoretical density, the calculation gives 3.8 Mg/m³. The value obtained for the size of the total moment is 0.88 μB per atom.

It has space group Pm-3m (No. 221), with a = 5.709 Å, b = 5.709 Å, c = 5.709 Å, α = 90.00°, β = 90.00° and γ = 90.00°. The asymmetric unit holds La at (0.000, 0.000, 0.000), Mn at (0.500, 0.500, 0.500) and Se at (0.000, 0.000, 0.500).



Model three:
Entry from the Alexandria database: an optimized crystal structure of LaMnSe3 (GGA-PBE).

The calculation puts the calculated volume at 27.1 Å³ per atom. For the theoretical density, the calculation gives 5.3 Mg/m³. The value obtained for the size of the total moment is 0.80 μB per atom.

It has space group P2_1/c (No. 14), with a = 9.027 Å, b = 7.712 Å, c = 8.764 Å, α = 90.00°, β = 117.27° and γ = 90.00°. The asymmetric unit holds La at (0.129, 0.215, 0.060), Mn at (0.306, 0.620, 0.919), Se at (0.014, 0.512, 0.791), Se at (0.250, 0.669, 0.607) and Se at (0.393, 0.195, 0.446).



The most stable arrangement is model three, and the next structure is 0.179 eV/atom less stable.



Model one:
Entry from the Alexandria database: an optimized crystal structure of LaMn4Si2 (GGA-PBE).

The calculation puts the calculated volume at 20.9 Å³ per atom. For the theoretical density, the calculation gives 4.7 Mg/m³. The value obtained for the size of the total moment is 1.81 μB per atom.

It has space group I4/mmm (No. 139), with a = 4.708 Å, b = 4.708 Å, c = 13.182 Å, α = 90.00°, β = 90.00° and γ = 90.00°. The asymmetric unit holds La at (0.000, 0.000, 0.000), Mn at (0.000, 0.000, 0.229), Mn at (0.000, 0.500, 0.000) and Si at (0.000, 0.000, 0.409).



Model two:
Entry from the Alexandria database: an optimized crystal structure of LaMn4Si2 (GGA-PBE).

The calculation puts the calculated volume at 14.9 Å³ per atom. For the theoretical density, the calculation gives 6.6 Mg/m³. The value obtained for the size of the total moment is 0.00 μB per atom.

It has space group Cmmm (No. 65), with a = 3.958 Å, b = 13.368 Å, c = 3.933 Å, α = 90.00°, β = 90.00° and γ = 90.00°. The asymmetric unit holds La at (0.000, 0.000, 0.000), Mn at (0.000, 0.203, 0.500), Mn at (0.000, 0.297, 0.000) and Si at (0.000, 0.399, 0.500).



The most stable arrangement is model two, and the next structure is 1.484 eV/atom less stable.



Model one:
Entry from the Alexandria database: an optimized crystal structure of SrLa2Mn2 (GGA-PBE).

The calculation puts the calculated volume at 30.8 Å³ per atom. For the theoretical density, the calculation gives 5.1 Mg/m³. The value obtained for the size of the total moment is 1.11 μB per atom.

It has space group I4/mmm (No. 139), with a = 4.856 Å, b = 4.856 Å, c = 13.078 Å, α = 90.00°, β = 90.00° and γ = 90.00°. The asymmetric unit holds Sr at (0.000, 0.000, 0.000), La at (0.000, 0.500, 0.250) and Mn at (0.000, 0.000, 0.398).



Model two:
Entry from the Alexandria database: an optimized crystal structure of SrLa2Mn2 (GGA-PBE).

The calculation puts the calculated volume at 30.1 Å³ per atom. For the theoretical density, the calculation gives 5.2 Mg/m³. The value obtained for the size of the total moment is 1.14 μB per atom.

It has space group P4/mbm (No. 127), with a = 8.775 Å, b = 8.775 Å, c = 3.908 Å, α = 90.00°, β = 90.00° and γ = 90.00°. The asymmetric unit holds Sr at (0.000, 0.000, 0.000), La at (0.163, 0.337, 0.500) and Mn at (0.110, 0.610, 0.000).



The most stable arrangement is model two, and the next structure is 0.125 eV/atom less stable.



Model one:
Entry from the Alexandria database: an optimized crystal structure of Sr3LaMn (GGA-PBE).

The calculation puts the calculated volume at 43.1 Å³ per atom. For the theoretical density, the calculation gives 3.5 Mg/m³. The value obtained for the size of the total moment is 0.45 μB per atom.

It has space group Pm-3m (No. 221), with a = 5.996 Å, b = 5.996 Å, c = 5.996 Å, α = 90.00°, β = 90.00° and γ = 90.00°. The asymmetric unit holds Sr at (0.000, 0.000, 0.500), La at (0.500, 0.500, 0.500) and Mn at (0.000, 0.000, 0.000).



Model two:
Entry from the Alexandria database: an optimized crystal structure of Sr3LaMn (GGA-PBE).

The calculation puts the calculated volume at 47.4 Å³ per atom. For the theoretical density, the calculation gives 3.2 Mg/m³. The value obtained for the size of the total moment is 0.79 μB per atom.

It has space group Pm-3m (No. 221), with a = 6.191 Å, b = 6.191 Å, c = 6.191 Å, α = 90.00°, β = 90.00° and γ = 90.00°. The asymmetric unit holds Sr at (0.000, 0.000, 0.500), La at (0.000, 0.000, 0.000) and Mn at (0.500, 0.500, 0.500).



The most stable arrangement is model one, and the next structure is 0.661 eV/atom less stable.



Model one:
Entry from the Alexandria database: an optimized crystal structure of La2TaMn (GGA-PBE).

The calculation puts the calculated volume at 23.2 Å³ per atom. For the theoretical density, the calculation gives 9.2 Mg/m³. The value obtained for the size of the total moment is 0.68 μB per atom.

It has space group Pmmm (No. 47), with a = 3.295 Å, b = 5.197 Å, c = 5.424 Å, α = 90.00°, β = 90.00° and γ = 90.00°. The asymmetric unit holds La at (0.000, 0.000, 0.000), La at (0.500, 0.000, 0.500), Ta at (0.000, 0.500, 0.500) and Mn at (0.500, 0.500, 0.000).



Model two:
Entry from the Alexandria database: an optimized crystal structure of La2TaMn (GGA-PBE).

The calculation puts the calculated volume at 24.8 Å³ per atom. For the theoretical density, the calculation gives 8.6 Mg/m³. The value obtained for the size of the total moment is 0.81 μB per atom.

It has space group R-3m (No. 166, hexagonal axes), with a = 3.3462 Å, b = 3.3462 Å, c = 30.6619 Å, α = 90.00°, β = 90.00° and γ = 120.00°. The asymmetric unit holds La at (0.0000, 0.0000, 0.2480), Ta at (0.0000, 0.0000, 0.0000) and Mn at (0.0000, 0.0000, 0.5000).



The most stable arrangement is model two, and the next structure is 0.022 eV/atom less stable.



Model one:
Entry from the Alexandria database: an optimized crystal structure of La2TaMn (GGA-PBE).

The calculation puts the calculated volume at 25.5 Å³ per atom. For the theoretical density, the calculation gives 8.4 Mg/m³. The value obtained for the size of the total moment is 0.89 μB per atom.

It has space group Cmmm (No. 65), with a = 7.709 Å, b = 7.888 Å, c = 3.355 Å, α = 90.00°, β = 90.00° and γ = 90.00°. The asymmetric unit holds La at (0.250, 0.250, 0.000), Ta at (0.000, 0.000, 0.500) and Mn at (0.000, 0.500, 0.500).



Model two:
Entry from the Alexandria database: an optimized crystal structure of La2TaMn (GGA-PBE).

The calculation puts the calculated volume at 24.6 Å³ per atom. For the theoretical density, the calculation gives 8.7 Mg/m³. The value obtained for the size of the total moment is 0.00 μB per atom.

It has space group Imm2 (No. 44), with a = 3.475 Å, b = 5.199 Å, c = 10.905 Å, α = 90.00°, β = 90.00° and γ = 90.00°. The asymmetric unit holds La at (0.000, 0.000, 0.000), La at (0.000, 0.500, 0.213), Ta at (0.000, 0.000, 0.408) and Mn at (0.000, 0.500, 0.756).



Model three:
Entry from the Alexandria database: an optimized crystal structure of La2TaMn (GGA-PBE).

The calculation puts the calculated volume at 25.3 Å³ per atom. For the theoretical density, the calculation gives 8.4 Mg/m³. The value obtained for the size of the total moment is 0.54 μB per atom.

It has space group I-42d (No. 122), with a = 8.217 Å, b = 8.217 Å, c = 5.997 Å, α = 90.00°, β = 90.00° and γ = 90.00°. The asymmetric unit holds La at (0.234, 0.750, 0.125), Ta at (0.000, 0.000, 0.500) and Mn at (0.000, 0.000, 0.000).



Model four:
Entry from the Alexandria database: an optimized crystal structure of La2TaMn (GGA-PBE).

The calculation puts the calculated volume at 26.5 Å³ per atom. For the theoretical density, the calculation gives 8.1 Mg/m³. The value obtained for the size of the total moment is 0.00 μB per atom.

It has space group Immm (No. 71), with a = 3.242 Å, b = 3.896 Å, c = 16.772 Å, α = 90.00°, β = 90.00° and γ = 90.00°. The asymmetric unit holds La at (0.000, 0.000, 0.151), Ta at (0.000, 0.500, 0.000) and Mn at (0.000, 0.500, 0.500).



The most stable arrangement is model two, and the next structure is 0.040 eV/atom less stable.



Model one:
Entry from the Alexandria database: an optimized crystal structure of La2TaMn (GGA-PBE).

The calculation puts the calculated volume at 24.5 Å³ per atom. For the theoretical density, the calculation gives 8.7 Mg/m³. The value obtained for the size of the total moment is 0.27 μB per atom.

It has space group R3m (No. 160, hexagonal axes), with a = 3.4216 Å, b = 3.4216 Å, c = 28.9817 Å, α = 90.00°, β = 90.00° and γ = 120.00°. The asymmetric unit holds La at (0.0000, 0.0000, 0.0000), La at (0.0000, 0.0000, 0.2234), Ta at (0.0000, 0.0000, 0.7605) and Mn at (0.0000, 0.0000, 0.4802).



Model two:
Entry from the Alexandria database: an optimized crystal structure of La2TaMn (GGA-PBE).

The calculation puts the calculated volume at 23.4 Å³ per atom. For the theoretical density, the calculation gives 9.1 Mg/m³. The value obtained for the size of the total moment is 0.00 μB per atom.

It has space group Fm-3m (No. 225), with a = 7.212 Å, b = 7.212 Å, c = 7.212 Å, α = 90.00°, β = 90.00° and γ = 90.00°. The asymmetric unit holds La at (0.250, 0.250, 0.250), Ta at (0.000, 0.000, 0.000) and Mn at (0.000, 0.000, 0.500).



Model three:
Entry from the Alexandria database: an optimized crystal structure of La2TaMn (GGA-PBE).

The calculation puts the calculated volume at 23.6 Å³ per atom. For the theoretical density, the calculation gives 9.0 Mg/m³. The value obtained for the size of the total moment is 0.50 μB per atom.

It has space group F-43m (No. 216), with a = 7.229 Å, b = 7.229 Å, c = 7.229 Å, α = 90.00°, β = 90.00° and γ = 90.00°. The asymmetric unit holds La at (0.000, 0.000, 0.000), La at (0.250, 0.250, 0.250), Ta at (0.250, 0.250, 0.750) and Mn at (0.000, 0.000, 0.500).



The most stable arrangement is model one, and the next structure is 0.126 eV/atom less stable.



Model one:
Entry from the Alexandria database: an optimized crystal structure of La2TaMn (GGA-PBE).

The calculation puts the calculated volume at 25.1 Å³ per atom. For the theoretical density, the calculation gives 8.5 Mg/m³. The value obtained for the size of the total moment is 1.01 μB per atom.

It has space group P4/mmm (No. 123), with a = 3.289 Å, b = 3.289 Å, c = 9.278 Å, α = 90.00°, β = 90.00° and γ = 90.00°. The asymmetric unit holds La at (0.000, 0.000, 0.245), Ta at (0.500, 0.500, 0.500) and Mn at (0.500, 0.500, 0.000).



Model two:
Entry from the Alexandria database: an optimized crystal structure of La2TaMn (GGA-PBE).

The calculation puts the calculated volume at 23.6 Å³ per atom. For the theoretical density, the calculation gives 9.0 Mg/m³. The value obtained for the size of the total moment is 0.70 μB per atom.

It has space group P2/m (No. 10), with a = 3.155 Å, b = 5.223 Å, c = 5.792 Å, α = 90.00°, β = 97.80° and γ = 90.00°. The asymmetric unit holds La at (0.204, 0.000, 0.259), Ta at (0.500, 0.500, 0.000) and Mn at (0.000, 0.500, 0.500).



Model three:
Entry from the Alexandria database: an optimized crystal structure of La2TaMn (GGA-PBE).

The calculation puts the calculated volume at 24.2 Å³ per atom. For the theoretical density, the calculation gives 8.8 Mg/m³. The value obtained for the size of the total moment is 0.00 μB per atom.

It has space group Pm (No. 6), with a = 3.260 Å, b = 3.266 Å, c = 9.088 Å, α = 90.00°, β = 90.31° and γ = 90.00°. The asymmetric unit holds La at (0.000, 0.000, 0.000), La at (0.426, 0.500, 0.375), Ta at (0.937, 0.000, 0.642) and Mn at (0.454, 0.500, 0.771).



The most stable arrangement is model three, and the next structure is 0.289 eV/atom less stable.



Model one:
Entry from the Alexandria database: an optimized crystal structure of LaTaMn2 (GGA-PBE).

The calculation puts the calculated volume at 18.1 Å³ per atom. For the theoretical density, the calculation gives 9.9 Mg/m³. The value obtained for the size of the total moment is 0.28 μB per atom.

It has space group F-43m (No. 216), with a = 6.613 Å, b = 6.613 Å, c = 6.613 Å, α = 90.00°, β = 90.00° and γ = 90.00°. The asymmetric unit holds La at (0.000, 0.000, 0.000), Ta at (0.250, 0.250, 0.250), Mn at (0.000, 0.000, 0.500) and Mn at (0.250, 0.250, 0.750).



Model two:
Entry from the Alexandria database: an optimized crystal structure of LaTaMn2 (GGA-PBE).

The calculation puts the calculated volume at 17.1 Å³ per atom. For the theoretical density, the calculation gives 10.5 Mg/m³. The value obtained for the size of the total moment is 0.00 μB per atom.

It has space group Fm-3m (No. 225), with a = 6.487 Å, b = 6.487 Å, c = 6.487 Å, α = 90.00°, β = 90.00° and γ = 90.00°. The asymmetric unit holds La at (0.000, 0.000, 0.000), Ta at (0.000, 0.000, 0.500) and Mn at (0.250, 0.250, 0.250).



Model three:
Entry from the Alexandria database: an optimized crystal structure of LaTaMn2 (GGA-PBE).

The calculation puts the calculated volume at 19.9 Å³ per atom. For the theoretical density, the calculation gives 8.9 Mg/m³. The value obtained for the size of the total moment is 0.58 μB per atom.

It has space group Imm2 (No. 44), with a = 3.119 Å, b = 4.062 Å, c = 12.595 Å, α = 90.00°, β = 90.00° and γ = 90.00°. The asymmetric unit holds La at (0.000, 0.000, 0.000), Ta at (0.000, 0.500, 0.228), Mn at (0.000, 0.000, 0.374) and Mn at (0.000, 0.500, 0.741).



Model four:
Entry from the Alexandria database: an optimized crystal structure of LaTaMn2 (GGA-PBE).

The calculation puts the calculated volume at 22.6 Å³ per atom. For the theoretical density, the calculation gives 7.9 Mg/m³. The value obtained for the size of the total moment is 0.34 μB per atom.

It has space group I4_1/amd (No. 141, origin choice 2), with a = 4.659 Å, b = 4.659 Å, c = 16.667 Å, α = 90.00°, β = 90.00° and γ = 90.00°. The asymmetric unit holds La at (0.000, 0.250, 0.375), Ta at (0.000, 0.250, 0.875) and Mn at (0.000, 0.000, 0.000).



The most stable arrangement is model three, and the next structure is 0.061 eV/atom less stable.